[1]
Below is crystalline PmSi4Os4 at its relaxed geometry, with properties calculated at the GGA-PBE level.

Density, g/cm³: 11.761
Raw formation energy, eV/atom: -0.395
M_tot, μB per cell: 0.0
Calculated total energy, eV/atom: -8.3241

a = 5.9710 Å, b = 5.9710 Å, c = 8.0647 Å
α = 90.00°, β = 90.00°, γ = 90.00°
With the nearest neighbours (Å) after each atom.
Atoms (fractional coordinates):
Pm (0.2500, 0.7500, 0.2500)  12 Si 3.17-3.51, 12 Os 3.40-3.48
Pm (0.7500, 0.2500, 0.7500)  12 Si 3.17-3.51, 12 Os 3.40-3.48
Si (0.0534, 0.2500, 0.0728)  1 Si 2.35, 5 Os 2.40-2.48
Si (0.2500, 0.0534, 0.5728)  1 Si 2.35, 5 Os 2.40-2.48
Si (0.2500, 0.4466, 0.5728)  1 Si 2.35, 5 Os 2.40-2.48
Si (0.4466, 0.2500, 0.0728)  1 Si 2.35, 5 Os 2.40-2.48
Si (0.5534, 0.7500, 0.9272)  1 Si 2.35, 5 Os 2.40-2.48
Si (0.7500, 0.5534, 0.4272)  1 Si 2.35, 5 Os 2.40-2.48
Si (0.7500, 0.9466, 0.4272)  1 Si 2.35, 5 Os 2.40-2.48
Si (0.9466, 0.7500, 0.9272)  1 Si 2.35, 5 Os 2.40-2.48
Os (0.0022, 0.2500, 0.3726)  5 Si 2.40-2.48
Os (0.2500, 0.0022, 0.8726)  5 Si 2.40-2.48
Os (0.2500, 0.4978, 0.8726)  5 Si 2.40-2.48
Os (0.4978, 0.2500, 0.3726)  5 Si 2.40-2.48
Os (0.5022, 0.7500, 0.6274)  5 Si 2.40-2.48
Os (0.7500, 0.5022, 0.1274)  5 Si 2.40-2.48
Os (0.7500, 0.9978, 0.1274)  5 Si 2.40-2.48
Os (0.9978, 0.7500, 0.6274)  5 Si 2.40-2.48

=====

[2]
Below is crystalline Pm2Si3Os2 at its relaxed geometry, with properties calculated at the GGA-PBE level.

Density, g/cm³: 9.385
Raw formation energy, eV/atom: -0.519
M_tot, μB per cell: 0.0
Calculated total energy, eV/atom: -7.4093

a = 5.7835 Å, b = 5.7835 Å, c = 7.0025 Å
α = 116.80°, β = 116.80°, γ = 40.55°
With the nearest neighbours (Å) after each atom.
Atoms (fractional coordinates):
Pm (0.1428, 0.1428, 0.2581)  4 Os 3.03-3.26, 3 Si 3.05-3.12
Pm (0.8572, 0.8572, 0.7419)  4 Os 3.03-3.26, 3 Si 3.05-3.12
Si (0.3489, 0.3489, 0.0643)  3 Os 2.48-2.49, 3 Si 2.68-2.75
Si (0.5000, 0.5000, 0.5000)  4 Os 2.48, 2 Si 2.68
Si (0.6511, 0.6511, 0.9357)  3 Os 2.48-2.49, 3 Si 2.68-2.75
Os (0.1264, 0.1264, 0.7106)  5 Si 2.48-2.49
Os (0.8736, 0.8736, 0.2894)  5 Si 2.48-2.49

=====

[3]
Below is crystalline Pm2Si4Os3 at its relaxed geometry, with properties calculated at the GGA-PBE level.

Density, g/cm³: 10.552
Raw formation energy, eV/atom: -0.564
M_tot, μB per cell: 0.0
Calculated total energy, eV/atom: -7.7731
Relative energy among the computed polymorphs, eV per formula unit: 0.00

a = 7.9630 Å, b = 7.9630 Å, c = 7.0664 Å
α = 90.00°, β = 90.00°, γ = 136.88°
With the nearest neighbours (Å) after each atom.
Atoms (fractional coordinates):
Pm (0.1100, 0.8900, 0.9077)  8 Si 2.92-3.22, 2 Os 3.04
Pm (0.3900, 0.6100, 0.4077)  8 Si 2.92-3.22, 2 Os 3.04
Pm (0.6100, 0.3900, 0.5923)  8 Si 2.92-3.22, 2 Os 3.04
Pm (0.8900, 0.1100, 0.0923)  8 Si 2.92-3.22, 2 Os 3.04
Si (0.1790, 0.8210, 0.5174)  5 Os 2.49-2.65
Si (0.1887, 0.3113, 0.7500)  3 Os 2.44-2.47
Si (0.3113, 0.1887, 0.2500)  3 Os 2.44-2.47
Si (0.3210, 0.6790, 0.0174)  5 Os 2.49-2.65
Si (0.6790, 0.3210, 0.9826)  5 Os 2.49-2.65
Si (0.6887, 0.8113, 0.7500)  3 Os 2.44-2.47
Si (0.8113, 0.6887, 0.2500)  3 Os 2.44-2.47
Si (0.8210, 0.1790, 0.4826)  5 Os 2.49-2.65
Os (0.0000, 0.0000, 0.5000)  6 Si 2.47-2.65
Os (0.0237, 0.4763, 0.7500)  5 Si 2.44-2.61
Os (0.4763, 0.0237, 0.2500)  5 Si 2.44-2.61
Os (0.5000, 0.5000, 0.0000)  6 Si 2.47-2.65
Os (0.5237, 0.9763, 0.7500)  5 Si 2.44-2.61
Os (0.9763, 0.5237, 0.2500)  5 Si 2.44-2.61

=====

[4]
Below is crystalline Pm8Si2Os at its relaxed geometry, with properties calculated at the GGA-PBE level.

Density, g/cm³: 7.592
Raw formation energy, eV/atom: -0.260
M_tot, μB per cell: 0.0
Calculated total energy, eV/atom: -5.7222

a = 9.8358 Å, b = 9.8358 Å, c = 6.8380 Å
α = 103.11°, β = 103.11°, γ = 28.57°
With the nearest neighbours (Å) after each atom.
Atoms (fractional coordinates):
Pm (0.0227, 0.0227, 0.2871)  2 Os 2.91, 1 Si 3.12, 1 Pm 3.23
Pm (0.2162, 0.2162, 0.8278)  3 Si 3.08-3.22, 4 Pm 3.35-3.42
Pm (0.3450, 0.3450, 0.5061)  1 Os 2.97, 3 Si 3.07-3.20
Pm (0.4072, 0.4072, 0.0331)  1 Os 3.27, 2 Si 3.30, 6 Pm 3.46-3.66
Pm (0.5928, 0.5928, 0.9669)  1 Os 3.27, 2 Si 3.30, 6 Pm 3.46-3.66
Pm (0.6550, 0.6550, 0.4939)  1 Os 2.97, 3 Si 3.07-3.20
Pm (0.7838, 0.7838, 0.1722)  3 Si 3.08-3.22, 4 Pm 3.35-3.42
Pm (0.9773, 0.9773, 0.7129)  2 Os 2.91, 1 Si 3.12, 1 Pm 3.23
Si (0.1820, 0.1820, 0.2455)  9 Pm 3.07-3.30
Si (0.8180, 0.8180, 0.7545)  9 Pm 3.07-3.30
Os (0.5000, 0.5000, 0.5000)  6 Pm 2.91-2.97

=====

- The highest density belongs to which entry?
  PmSi4Os4

=====

- Which value of density does entry 4 give?
  7.592 g/cm³

=====

Repeat the fourth record exactly.
Below is crystalline Pm8Si2Os at its relaxed geometry, with properties calculated at the GGA-PBE level.

Density, g/cm³: 7.592
Raw formation energy, eV/atom: -0.260
M_tot, μB per cell: 0.0
Calculated total energy, eV/atom: -5.7222

a = 9.8358 Å, b = 9.8358 Å, c = 6.8380 Å
α = 103.11°, β = 103.11°, γ = 28.57°
With the nearest neighbours (Å) after each atom.
Atoms (fractional coordinates):
Pm (0.0227, 0.0227, 0.2871)  2 Os 2.91, 1 Si 3.12, 1 Pm 3.23
Pm (0.2162, 0.2162, 0.8278)  3 Si 3.08-3.22, 4 Pm 3.35-3.42
Pm (0.3450, 0.3450, 0.5061)  1 Os 2.97, 3 Si 3.07-3.20
Pm (0.4072, 0.4072, 0.0331)  1 Os 3.27, 2 Si 3.30, 6 Pm 3.46-3.66
Pm (0.5928, 0.5928, 0.9669)  1 Os 3.27, 2 Si 3.30, 6 Pm 3.46-3.66
Pm (0.6550, 0.6550, 0.4939)  1 Os 2.97, 3 Si 3.07-3.20
Pm (0.7838, 0.7838, 0.1722)  3 Si 3.08-3.22, 4 Pm 3.35-3.42
Pm (0.9773, 0.9773, 0.7129)  2 Os 2.91, 1 Si 3.12, 1 Pm 3.23
Si (0.1820, 0.1820, 0.2455)  9 Pm 3.07-3.30
Si (0.8180, 0.8180, 0.7545)  9 Pm 3.07-3.30
Os (0.5000, 0.5000, 0.5000)  6 Pm 2.91-2.97